# 1
Computed, not measured: a geometry-optimized Al2CrNi structure at the PBE-GGA level of DFT.

Summary:
Crystal system: tetragonal
Total magnetic moment (μB/f.u.): 2.43
Energy relative to the elements (eV per atom): 0.17

POSCAR file:
```
Al2CrNi
1.0
-0.662 0.252 6.635
-3.103 -5.907 -0.086
0.430 -4.046 3.552
Al Ni Cr
4 2 2
Direct
0.875 0.906 0.750 Al
0.094 0.625 0.250 Al
0.656 0.125 0.250 Al
0.375 0.344 0.750 Al
0.000 0.000 0.000 Ni
0.750 0.250 0.500 Ni
0.500 0.500 0.000 Cr
0.250 0.750 0.500 Cr
```


# 2
Computed, not measured: a geometry-optimized Al4CrNi15 structure at the PBE-GGA level of DFT.

Summary:
Crystal system: tetragonal
Total magnetic moment (μB/f.u.): 2.51
Energy relative to the elements (eV per atom): -0.35

POSCAR file:
```
Al4CrNi15
1.0
3.553 0.000 0.000
0.000 3.553 0.000
0.000 0.000 17.831
Ni Al Cr
15 4 1
Direct
0.000 0.500 0.500 Ni
0.500 0.500 0.601 Ni
0.500 0.000 0.097 Ni
0.500 0.500 0.802 Ni
0.000 0.500 0.097 Ni
0.500 0.500 0.198 Ni
0.500 0.000 0.299 Ni
0.500 0.000 0.701 Ni
0.000 0.500 0.701 Ni
0.500 0.000 0.500 Ni
0.500 0.000 0.903 Ni
0.000 0.500 0.299 Ni
0.500 0.500 0.399 Ni
0.500 0.500 0.000 Ni
0.000 0.500 0.903 Ni
0.000 0.000 0.600 Al
0.000 0.000 0.400 Al
0.000 0.000 0.200 Al
0.000 0.000 0.800 Al
0.000 0.000 0.000 Cr
```


# 3
Computed, not measured: a geometry-optimized AlCr2Ni structure at the PBE-GGA level of DFT.

Summary:
Crystal system: orthorhombic
Total magnetic moment (μB/f.u.): 0.00
Energy relative to the elements (eV per atom): -0.05

POSCAR file:
```
AlCr2Ni
1.0
2.514 0.006 0.000
-0.664 2.425 0.000
0.000 0.000 7.853
Cr Ni Al
2 1 1
Direct
0.500 0.500 0.255 Cr
0.000 0.000 0.006 Cr
0.000 0.000 0.499 Ni
0.500 0.500 0.740 Al
```


# 4
Computed, not measured: a geometry-optimized Al2Cr2Ni structure at the PBE-GGA level of DFT.

Summary:
E above lowest polymorph (meV per atom): 0.0
Crystal system: tetragonal
Total magnetic moment (μB/f.u.): 4.09
Energy relative to the elements (eV per atom): 0.13

POSCAR file:
```
Al2Cr2Ni
1.0
-1.374 -2.594 -5.309
2.599 -5.160 1.849
-3.272 -1.144 1.406
Al Cr Ni
4 4 2
Direct
0.646 0.146 0.000 Al
0.354 0.854 0.000 Al
0.146 0.354 0.000 Al
0.854 0.646 0.000 Al
0.661 0.839 0.500 Cr
0.339 0.161 0.500 Cr
0.161 0.661 0.500 Cr
0.839 0.339 0.500 Cr
0.000 0.000 0.000 Ni
0.500 0.500 0.000 Ni
```


# 5
Computed, not measured: a geometry-optimized AlCrNi2 structure at the PBE-GGA level of DFT.

Summary:
Crystal system: monoclinic
Total magnetic moment (μB/f.u.): 1.81
Energy relative to the elements (eV per atom): -0.18

POSCAR file:
```
AlCrNi2
1.0
-1.687 1.939 -3.674
-3.711 1.294 -2.158
-0.348 4.139 1.297
Al Ni Cr
1 2 1
Direct
0.495 0.495 0.531 Al
0.001 0.001 0.023 Ni
0.750 0.750 0.730 Ni
0.254 0.254 0.216 Cr
```


# 6
Computed, not measured: a geometry-optimized AlCr2Ni structure at the PBE-GGA level of DFT.

Summary:
Crystal system: monoclinic
Total magnetic moment (μB/f.u.): 0.37
Energy relative to the elements (eV per atom): -0.03

POSCAR file:
```
AlCr2Ni
1.0
4.906 0.001 0.003
-2.069 4.274 0.002
0.767 0.662 2.288
Ni Cr Al
1 2 1
Direct
0.000 0.500 0.500 Ni
0.000 0.000 0.000 Cr
0.500 0.000 0.500 Cr
0.500 0.500 0.000 Al
```


# 7
Computed, not measured: a geometry-optimized AlCr2Ni structure at the PBE-GGA level of DFT.

Summary:
Crystal system: orthorhombic
Total magnetic moment (μB/f.u.): 0.35
Energy relative to the elements (eV per atom): -0.02

POSCAR file:
```
AlCr2Ni
1.0
-1.164 3.971 -2.184
1.527 -3.597 -2.575
-2.347 -0.822 -0.244
Al Ni Cr
1 1 2
Direct
0.000 0.500 0.500 Al
0.500 0.000 0.500 Ni
0.500 0.500 0.000 Cr
0.000 0.000 0.000 Cr
```


# 8
Computed, not measured: a geometry-optimized AlCr2Ni structure at the PBE-GGA level of DFT.

Summary:
Crystal system: tetragonal
Total magnetic moment (μB/f.u.): 0.60
Energy relative to the elements (eV per atom): -0.14

POSCAR file:
```
AlCr2Ni
1.0
-0.703 -1.827 -2.210
2.606 -1.356 0.292
-2.289 -3.602 3.706
Ni Al Cr
1 1 2
Direct
0.000 0.000 0.508 Ni
0.500 0.500 0.739 Al
0.500 0.500 0.227 Cr
0.000 0.000 0.027 Cr
```


# 9
Computed, not measured: a geometry-optimized AlCrNi2 structure at the PBE-GGA level of DFT.

Summary:
Crystal system: tetragonal
Total magnetic moment (μB/f.u.): 3.25
Energy relative to the elements (eV per atom): -0.19

POSCAR file:
```
AlCrNi2
1.0
4.569 -0.010 0.000
1.750 4.221 0.000
-3.159 -2.106 2.542
Ni Cr Al
2 1 1
Direct
0.250 0.750 0.500 Ni
0.000 0.000 0.000 Ni
0.750 0.250 0.500 Cr
0.500 0.500 0.000 Al
```


# 10
Computed, not measured: a geometry-optimized AlCr2Ni structure at the PBE-GGA level of DFT.

Summary:
Crystal system: monoclinic
Total magnetic moment (μB/f.u.): 0.00
Energy relative to the elements (eV per atom): -0.06

POSCAR file:
```
AlCr2Ni
1.0
-2.556 -2.893 -0.750
1.535 -1.645 1.110
-1.624 0.217 4.698
Cr Al Ni
2 1 1
Direct
0.000 0.047 0.019 Cr
0.500 0.215 0.231 Cr
0.500 0.751 0.743 Al
0.000 0.487 0.507 Ni
```


# 11
Computed, not measured: a geometry-optimized AlCr2Ni structure at the PBE-GGA level of DFT.

Summary:
Crystal system: orthorhombic
Total magnetic moment (μB/f.u.): 0.52
Energy relative to the elements (eV per atom): -0.18

POSCAR file:
```
AlCr2Ni
1.0
-0.650 2.598 -1.557
-0.718 -2.050 -3.121
-3.993 -0.322 1.131
Cr Ni Al
2 1 1
Direct
0.000 0.000 0.000 Cr
0.500 0.500 0.000 Cr
0.500 0.000 0.500 Ni
0.000 0.500 0.500 Al
```


# 12
Computed, not measured: a geometry-optimized AlCr2Ni structure at the PBE-GGA level of DFT.

Summary:
Crystal system: trigonal
Total magnetic moment (μB/f.u.): 0.00
Energy relative to the elements (eV per atom): 0.15

POSCAR file:
```
AlCr2Ni
1.0
-1.108 -2.882 -8.012
1.128 -4.059 -7.482
-1.104 -5.151 -6.780
Ni Cr Al
1 2 1
Direct
0.250 0.250 0.250 Ni
0.997 0.997 0.997 Cr
0.503 0.503 0.503 Cr
0.750 0.750 0.750 Al
```


# 13
Computed, not measured: a geometry-optimized AlCrNi2 structure at the PBE-GGA level of DFT.

Summary:
Crystal system: tetragonal
Total magnetic moment (μB/f.u.): 0.41
Energy relative to the elements (eV per atom): -0.23

POSCAR file:
```
AlCrNi2
1.0
-1.722 -0.690 1.833
1.853 -1.366 1.227
1.667 5.539 3.650
Ni Cr Al
2 1 1
Direct
0.000 0.000 0.002 Ni
0.000 0.000 0.498 Ni
0.500 0.500 0.750 Cr
0.500 0.500 0.250 Al
```


# 14
Computed, not measured: a geometry-optimized Al6CrNi5 structure at the PBE-GGA level of DFT.

Summary:
Crystal system: orthorhombic
Total magnetic moment (μB/f.u.): 1.35
Energy relative to the elements (eV per atom): -0.52

POSCAR file:
```
Al6CrNi5
1.0
3.957 0.002 -0.825
-0.003 6.020 -0.001
-0.736 0.000 6.357
Al Ni Cr
6 5 1
Direct
0.500 0.259 0.000 Al
0.167 0.747 0.333 Al
0.167 0.253 0.333 Al
0.833 0.747 0.667 Al
0.833 0.253 0.667 Al
0.500 0.741 0.000 Al
0.672 0.500 0.343 Ni
0.000 0.500 0.000 Ni
0.668 0.000 0.336 Ni
0.332 0.000 0.664 Ni
0.328 0.500 0.657 Ni
0.000 0.000 0.000 Cr
```


# 15
Computed, not measured: a geometry-optimized AlCrNi4 structure at the PBE-GGA level of DFT.

Summary:
Crystal system: cubic
Total magnetic moment (μB/f.u.): 3.36
Energy relative to the elements (eV per atom): -0.10

POSCAR file:
```
AlCrNi4
1.0
0.809 2.888 3.599
-1.434 4.455 -0.203
-3.553 1.442 2.691
Ni Al Cr
4 1 1
Direct
0.375 0.375 0.875 Ni
0.375 0.875 0.375 Ni
0.875 0.375 0.375 Ni
0.375 0.375 0.375 Ni
0.750 0.750 0.750 Al
0.000 0.000 0.000 Cr
```


# 16
Computed, not measured: a geometry-optimized AlCr2Ni structure at the PBE-GGA level of DFT.

Summary:
Crystal system: cubic
Total magnetic moment (μB/f.u.): 0.99
Energy relative to the elements (eV per atom): -0.10

POSCAR file:
```
AlCr2Ni
1.0
4.127 -0.015 -0.001
0.017 4.127 -0.001
-2.073 -2.057 2.918
Al Cr Ni
1 2 1
Direct
0.750 0.250 0.500 Al
0.000 0.000 0.000 Cr
0.250 0.750 0.500 Cr
0.500 0.500 0.000 Ni
```


# 17
Computed, not measured: a geometry-optimized AlCr2Ni structure at the PBE-GGA level of DFT.

Summary:
Crystal system: tetragonal
Total magnetic moment (μB/f.u.): 0.00
Energy relative to the elements (eV per atom): 0.50

POSCAR file:
```
AlCr2Ni
1.0
6.653 0.000 0.000
0.000 6.653 0.000
3.326 3.326 2.373
Cr Al Ni
4 2 2
Direct
0.650 0.125 0.250 Cr
0.100 0.625 0.250 Cr
0.875 0.900 0.750 Cr
0.375 0.350 0.750 Cr
0.500 0.500 0.000 Al
0.250 0.750 0.500 Al
0.750 0.250 0.500 Ni
0.000 0.000 0.000 Ni
```


# 18
Computed, not measured: a geometry-optimized AlCrNi2 structure at the PBE-GGA level of DFT.

Summary:
Crystal system: orthorhombic
Total magnetic moment (μB/f.u.): 0.00
Energy relative to the elements (eV per atom): -0.15

POSCAR file:
```
AlCrNi2
1.0
2.650 0.000 0.000
0.000 3.316 0.000
0.000 0.000 5.375
Ni Al Cr
2 1 1
Direct
0.000 0.000 0.991 Ni
0.500 0.500 0.249 Ni
0.000 0.000 0.482 Al
0.500 0.500 0.778 Cr
```


# 19
Computed, not measured: a geometry-optimized Al2CrNi structure at the PBE-GGA level of DFT.

Summary:
Crystal system: monoclinic
Total magnetic moment (μB/f.u.): 0.98
Energy relative to the elements (eV per atom): -0.10

POSCAR file:
```
Al2CrNi
1.0
-2.938 2.576 2.038
-3.979 1.870 -0.291
-2.731 -3.263 2.210
Al Ni Cr
2 1 1
Direct
0.507 0.507 0.495 Al
0.993 0.993 0.005 Al
0.250 0.250 0.250 Ni
0.750 0.750 0.750 Cr
```


# 20
Computed, not measured: a geometry-optimized Al2Cr2Ni structure at the PBE-GGA level of DFT.

Summary:
E above lowest polymorph (meV per atom): 463.8
Crystal system: tetragonal
Total magnetic moment (μB/f.u.): 0.00
Energy relative to the elements (eV per atom): 0.59

POSCAR file:
```
Al2Cr2Ni
1.0
3.549 0.000 0.000
0.000 3.549 0.000
1.774 1.774 5.782
Ni Cr Al
1 2 2
Direct
0.000 0.000 0.000 Ni
0.417 0.417 0.166 Cr
0.583 0.583 0.834 Cr
0.750 0.250 0.500 Al
0.250 0.750 0.500 Al
```


# 21
Computed, not measured: a geometry-optimized AlCr2Ni structure at the PBE-GGA level of DFT.

Summary:
Crystal system: orthorhombic
Total magnetic moment (μB/f.u.): 0.00
Energy relative to the elements (eV per atom): -0.03

POSCAR file:
```
AlCr2Ni
1.0
2.501 0.000 0.000
0.000 3.992 0.000
0.000 0.000 4.813
Cr Ni Al
2 1 1
Direct
0.000 0.000 0.498 Cr
0.000 0.000 0.002 Cr
0.500 0.500 0.250 Ni
0.500 0.500 0.750 Al
```


# 22
Computed, not measured: a geometry-optimized AlCrNi14 structure at the PBE-GGA level of DFT.

Summary:
Crystal system: tetragonal
Total magnetic moment (μB/f.u.): 3.94
Energy relative to the elements (eV per atom): -0.10

POSCAR file:
```
AlCrNi14
1.0
5.003 -0.011 0.000
0.011 5.003 0.000
0.000 0.000 7.041
Ni Al Cr
14 1 1
Direct
0.875 0.375 0.500 Ni
0.127 0.623 0.751 Ni
0.127 0.623 0.249 Ni
0.375 0.875 0.500 Ni
0.375 0.875 0.000 Ni
0.127 0.127 0.249 Ni
0.375 0.375 0.000 Ni
0.127 0.127 0.751 Ni
0.623 0.623 0.751 Ni
0.875 0.875 0.000 Ni
0.623 0.127 0.751 Ni
0.623 0.127 0.249 Ni
0.875 0.375 0.000 Ni
0.623 0.623 0.249 Ni
0.875 0.875 0.500 Al
0.375 0.375 0.500 Cr
```


# 23
Computed, not measured: a geometry-optimized AlCr2Ni structure at the PBE-GGA level of DFT.

Summary:
Crystal system: tetragonal
Total magnetic moment (μB/f.u.): 0.00
Energy relative to the elements (eV per atom): 0.03

POSCAR file:
```
AlCr2Ni
1.0
2.529 0.000 0.000
0.000 2.529 0.000
0.000 0.000 7.530
Al Ni Cr
1 1 2
Direct
0.500 0.500 0.750 Al
0.500 0.500 0.250 Ni
0.000 0.000 0.491 Cr
0.000 0.000 0.009 Cr
```


# 24
Computed, not measured: a geometry-optimized Al2CrNi structure at the PBE-GGA level of DFT.

Summary:
Crystal system: tetragonal
Total magnetic moment (μB/f.u.): 1.87
Energy relative to the elements (eV per atom): -0.35

POSCAR file:
```
Al2CrNi
1.0
-1.854 -1.166 -3.420
-3.316 -0.978 2.131
-1.098 2.881 -0.387
Cr Al Ni
1 2 1
Direct
0.500 0.000 0.500 Cr
0.000 0.000 0.000 Al
0.500 0.500 0.000 Al
0.000 0.500 0.500 Ni
```


# 25
Computed, not measured: a geometry-optimized Al2CrNi structure at the PBE-GGA level of DFT.

Summary:
Crystal system: orthorhombic
Total magnetic moment (μB/f.u.): 2.51
Energy relative to the elements (eV per atom): -0.12

POSCAR file:
```
Al2CrNi
1.0
4.832 -0.009 -0.003
1.950 4.421 0.003
-2.912 -2.942 2.493
Al Cr Ni
2 1 1
Direct
0.488 0.488 0.000 Al
0.012 0.012 0.000 Al
0.750 0.250 0.500 Cr
0.250 0.750 0.500 Ni
```


# 26
Computed, not measured: a geometry-optimized AlCrNi2 structure at the PBE-GGA level of DFT.

Summary:
Crystal system: tetragonal
Total magnetic moment (μB/f.u.): 3.65
Energy relative to the elements (eV per atom): -0.24

POSCAR file:
```
AlCrNi2
1.0
3.222 0.000 0.000
0.000 3.894 0.000
0.000 0.000 3.894
Ni Cr Al
2 1 1
Direct
0.000 0.000 0.500 Ni
0.000 0.500 0.000 Ni
0.500 0.000 0.000 Cr
0.500 0.500 0.500 Al
```


# 27
Computed, not measured: a geometry-optimized Al2CrNi structure at the PBE-GGA level of DFT.

Summary:
Crystal system: cubic
Total magnetic moment (μB/f.u.): 3.25
Energy relative to the elements (eV per atom): -0.13

POSCAR file:
```
Al2CrNi
1.0
4.238 0.000 0.000
2.119 3.670 0.000
2.119 1.223 3.460
Al Cr Ni
2 1 1
Direct
0.000 0.000 0.000 Al
0.750 0.750 0.750 Al
0.500 0.500 0.500 Cr
0.250 0.250 0.250 Ni
```